First-principles (GGA-PBE) data for crystalline Cu6SnO12 at its relaxed geometry, as listed in Alexandria.

Results
**Raw formation energy**: 0.072 eV/atom
**Density of states at the Fermi level**: 21.3 states/eV/f.u.

Cell lengths 6.627, 6.627, 6.627 Å; angles 109.47, 109.47, 109.47 degrees
Fractional positions:
1 Cu 0.163 0.663 0.500
2 Cu 0.337 0.500 0.837
3 Cu 0.500 0.163 0.663
4 Cu 0.500 0.837 0.337
5 Cu 0.663 0.500 0.163
6 Cu 0.837 0.337 0.500
7 Sn 0.000 0.000 0.000
8 O 0.153 0.342 0.496
9 O 0.153 0.658 0.811
10 O 0.189 0.847 0.342
11 O 0.342 0.189 0.847
12 O 0.342 0.496 0.153
13 O 0.496 0.153 0.342
14 O 0.504 0.847 0.658
15 O 0.658 0.504 0.847
16 O 0.658 0.811 0.153
17 O 0.811 0.153 0.658
18 O 0.847 0.342 0.189
19 O 0.847 0.658 0.504

First-principles (GGA-PBE) data for crystalline CuSnO3 at its relaxed geometry, as listed in Alexandria.

Results
**Raw formation energy**: -0.485 eV/atom
**Density of states at the Fermi level**: 11.1 states/eV/f.u.

Cell lengths 4.000, 4.000, 4.000 Å; angles 90.00, 90.00, 90.00 degrees
Fractional positions:
1 Cu 0.000 0.000 0.000
2 Sn 0.500 0.500 0.500
3 O 0.000 0.500 0.500
4 O 0.500 0.000 0.500
5 O 0.500 0.500 0.000

First-principles (GGA-PBE) data for crystalline CuSnO at its relaxed geometry, as listed in Alexandria.

Results
**Raw formation energy**: -0.360 eV/atom
**Density of states at the Fermi level**: 0.9 states/eV/f.u.

Cell lengths 10.180, 3.087, 6.102 Å; angles 90.00, 90.00, 90.00 degrees
Fractional positions:
1 Cu 0.180 0.250 0.090
2 Cu 0.320 0.750 0.590
3 Cu 0.680 0.250 0.410
4 Cu 0.820 0.750 0.910
5 Sn 0.013 0.250 0.728
6 Sn 0.487 0.750 0.228
7 Sn 0.513 0.250 0.772
8 Sn 0.987 0.750 0.272
9 O 0.170 0.750 0.790
10 O 0.330 0.250 0.290
11 O 0.670 0.750 0.710
12 O 0.830 0.250 0.210

First-principles (GGA-PBE) data for crystalline CuSn3O at its relaxed geometry, as listed in Alexandria.

Results
**Energy relative to the lowest polymorph listed for this composition**: 0.000 eV/f.u.
**Raw formation energy**: -0.009 eV/atom
**Density of states at the Fermi level**: 3.0 states/eV/f.u.

Cell lengths 4.757, 4.757, 4.757 Å; angles 90.00, 90.00, 90.00 degrees
Fractional positions:
1 Cu 0.000 0.000 0.000
2 Sn 0.000 0.500 0.500
3 Sn 0.500 0.000 0.500
4 Sn 0.500 0.500 0.000
5 O 0.500 0.500 0.500

First-principles (GGA-PBE) data for crystalline CuSn3O at its relaxed geometry, as listed in Alexandria.

Results
**Energy relative to the lowest polymorph listed for this composition**: 2.472 eV/f.u.
**Raw formation energy**: 0.485 eV/atom
**Density of states at the Fermi level**: 2.8 states/eV/f.u.

Cell lengths 4.976, 4.976, 4.976 Å; angles 90.00, 90.00, 90.00 degrees
Fractional positions:
1 Cu 0.000 0.000 0.000
2 Sn 0.000 0.000 0.500
3 Sn 0.000 0.500 0.000
4 Sn 0.500 0.000 0.000
5 O 0.500 0.500 0.500

First-principles (GGA-PBE) data for crystalline CuSnO3 at its relaxed geometry, as listed in Alexandria.

Results
**Raw formation energy**: -0.490 eV/atom
**Density of states at the Fermi level**: 2.5 states/eV/f.u.

Cell lengths 3.778, 3.778, 3.778 Å; angles 90.00, 90.00, 90.00 degrees
Fractional positions:
1 Cu 0.000 0.000 0.000
2 Sn 0.500 0.500 0.500
3 O 0.000 0.000 0.500
4 O 0.000 0.500 0.000
5 O 0.500 0.000 0.000

First-principles (GGA-PBE) data for crystalline CuSnO3 at its relaxed geometry, as listed in Alexandria.

Results
**Raw formation energy**: -0.757 eV/atom
**Density of states at the Fermi level**: 2.5 states/eV/f.u.

Cell lengths 4.119, 4.119, 4.119 Å; angles 87.55, 87.55, 87.55 degrees
Fractional positions:
1 Cu 0.000 0.000 0.000
2 Sn 0.624 0.624 0.624
3 O 0.134 0.671 0.671
4 O 0.671 0.134 0.671
5 O 0.671 0.671 0.134

First-principles (GGA-PBE) data for crystalline Cu2SnO4 at its relaxed geometry, as listed in Alexandria.

Results
**Raw formation energy**: -0.714 eV/atom
**Density of states at the Fermi level**: 5.3 states/eV/f.u.

Cell lengths 4.370, 4.370, 5.067 Å; angles 90.00, 90.00, 90.00 degrees
Fractional positions:
1 Cu 0.000 0.500 0.000
2 Cu 0.500 0.000 0.000
3 Sn 0.000 0.000 0.500
4 O 0.244 0.244 0.760
5 O 0.244 0.756 0.240
6 O 0.756 0.244 0.240
7 O 0.756 0.756 0.760

First-principles (GGA-PBE) data for crystalline Cu2SnO at its relaxed geometry, as listed in Alexandria.

Results
**Energy relative to the lowest polymorph listed for this composition**: 0.000 eV/f.u.
**Raw formation energy**: -0.186 eV/atom
**Density of states at the Fermi level**: 0.5 states/eV/f.u.

Cell lengths 5.643, 5.643, 5.643 Å; angles 118.59, 118.59, 92.47 degrees
Fractional positions:
1 Cu 0.021 0.625 0.896
2 Cu 0.375 0.271 0.396
3 Cu 0.729 0.125 0.104
4 Cu 0.875 0.979 0.604
5 Sn 0.250 0.750 0.500
6 Sn 0.500 0.500 0.000
7 O 0.000 0.000 0.000
8 O 0.750 0.250 0.500

First-principles (GGA-PBE) data for crystalline Cu2SnO at its relaxed geometry, as listed in Alexandria.

Results
**Energy relative to the lowest polymorph listed for this composition**: 1.954 eV/f.u.
**Raw formation energy**: 0.302 eV/atom
**Density of states at the Fermi level**: 4.7 states/eV/f.u.

Cell lengths 4.333, 4.333, 4.333 Å; angles 60.00, 60.00, 60.00 degrees
Fractional positions:
1 Cu 0.250 0.250 0.250
2 Cu 0.750 0.750 0.750
3 Sn 0.000 0.000 0.000
4 O 0.500 0.500 0.500

First-principles (GGA-PBE) data for crystalline Cu3SnO at its relaxed geometry, as listed in Alexandria.

Results
**Energy relative to the lowest polymorph listed for this composition**: 0.000 eV/f.u.
**Raw formation energy**: 0.001 eV/atom
**Density of states at the Fermi level**: 3.2 states/eV/f.u.

Cell lengths 4.147, 4.147, 4.147 Å; angles 90.00, 90.00, 90.00 degrees
Fractional positions:
1 Cu 0.000 0.000 0.500
2 Cu 0.000 0.500 0.000
3 Cu 0.500 0.000 0.000
4 Sn 0.500 0.500 0.500
5 O 0.000 0.000 0.000

First-principles (GGA-PBE) data for crystalline Cu3SnO at its relaxed geometry, as listed in Alexandria.

Results
**Energy relative to the lowest polymorph listed for this composition**: 6.425 eV/f.u.
**Raw formation energy**: 1.286 eV/atom
**Density of states at the Fermi level**: 11.9 states/eV/f.u.

Cell lengths 4.833, 4.833, 4.833 Å; angles 90.00, 90.00, 90.00 degrees
Fractional positions:
1 Cu 0.000 0.000 0.500
2 Cu 0.000 0.500 0.000
3 Cu 0.500 0.000 0.000
4 Sn 0.000 0.000 0.000
5 O 0.500 0.500 0.500

First-principles (GGA-PBE) data for crystalline SrCuSn2O at its relaxed geometry, as listed in Alexandria.

Results
**Raw formation energy**: 1.480 eV/atom
**Density of states at the Fermi level**: 4.4 states/eV/f.u.

Cell lengths 6.262, 6.262, 5.276 Å; angles 90.00, 90.00, 90.00 degrees
Fractional positions:
1 Sr 0.000 0.000 0.000
2 Cu 0.000 0.000 0.500
3 Sn 0.000 0.500 0.000
4 Sn 0.500 0.000 0.000
5 O 0.500 0.500 0.500

First-principles (GGA-PBE) data for crystalline SrCuSnO4 at its relaxed geometry, as listed in Alexandria.

Results
**Raw formation energy**: -1.511 eV/atom
**Density of states at the Fermi level**: 3.2 states/eV/f.u.

Cell lengths 5.854, 5.854, 6.948 Å; angles 90.00, 90.00, 111.92 degrees
Fractional positions:
1 Sr 0.000 0.000 0.000
2 Sr 0.000 0.000 0.500
3 Cu 0.328 0.672 0.750
4 Cu 0.672 0.328 0.250
5 Sn 0.369 0.631 0.250
6 Sn 0.631 0.369 0.750
7 O 0.261 0.739 0.006
8 O 0.261 0.739 0.494
9 O 0.268 0.282 0.750
10 O 0.282 0.268 0.250
11 O 0.718 0.732 0.750
12 O 0.732 0.718 0.250
13 O 0.739 0.261 0.506
14 O 0.739 0.261 0.994

First-principles (GGA-PBE) data for crystalline Sr2Cu2SnO6 at its relaxed geometry, as listed in Alexandria.

Results
**Raw formation energy**: -1.578 eV/atom
**Density of states at the Fermi level**: 3.2 states/eV/f.u.

Cell lengths 6.383, 6.383, 6.383 Å; angles 54.98, 54.98, 54.98 degrees
Fractional positions:
1 Sr 0.213 0.213 0.213
2 Sr 0.787 0.787 0.787
3 Cu 0.415 0.415 0.415
4 Cu 0.585 0.585 0.585
5 Sn 0.000 0.000 0.000
6 O 0.219 0.762 0.762
7 O 0.238 0.238 0.781
8 O 0.238 0.781 0.238
9 O 0.762 0.219 0.762
10 O 0.762 0.762 0.219
11 O 0.781 0.238 0.238

First-principles (GGA-PBE) data for crystalline Sr2CuSnO5 at its relaxed geometry, as listed in Alexandria.

Results
**Raw formation energy**: -1.900 eV/atom
**Density of states at the Fermi level**: 1.7 states/eV/f.u.

Cell lengths 7.696, 7.696, 10.210 Å; angles 90.00, 90.00, 155.10 degrees
Fractional positions:
1 Sr 0.114 0.886 0.500
2 Sr 0.124 0.876 0.113
3 Sr 0.876 0.124 0.613
4 Sr 0.886 0.114 0.000
5 Cu 0.461 0.539 0.267
6 Cu 0.539 0.461 0.767
7 Sn 0.215 0.785 0.817
8 Sn 0.785 0.215 0.317
9 O 0.072 0.928 0.842
10 O 0.287 0.713 0.454
11 O 0.297 0.703 0.181
12 O 0.351 0.649 0.811
13 O 0.498 0.502 0.091
14 O 0.502 0.498 0.591
15 O 0.649 0.351 0.311
16 O 0.703 0.297 0.681
17 O 0.713 0.287 0.954
18 O 0.928 0.072 0.342

First-principles (GGA-PBE) data for crystalline Sr3Cu2SnO6 at its relaxed geometry, as listed in Alexandria.

Results
**Raw formation energy**: -1.682 eV/atom
**Density of states at the Fermi level**: 5.4 states/eV/f.u.

Cell lengths 5.904, 5.904, 6.396 Å; angles 90.00, 90.00, 120.00 degrees
Fractional positions:
1 Sr 0.000 0.000 0.000
2 Sr 0.333 0.667 0.628
3 Sr 0.667 0.333 0.372
4 Cu 0.333 0.667 0.163
5 Cu 0.667 0.333 0.837
6 Sn 0.000 0.000 0.500
7 O 0.164 0.329 0.307
8 O 0.164 0.836 0.307
9 O 0.329 0.164 0.693
10 O 0.671 0.836 0.307
11 O 0.836 0.164 0.693
12 O 0.836 0.671 0.693